{"formula": "MgBeAl2", "functional": "PBE", "state": "relaxed", "magnetic_moment_mub_per_fu": 0.00, "de_polymorph_mev_per_atom": 38, "final_energy_ev_per_atom": -3.089, "lattice": [[4.575, 0.000, 0.000], [0.000, 3.974, 0.000], [-1.196, 0.000, 7.282]], "species": ["Mg", "Mg", "Be", "Be", "Al", "Al", "Al", "Al"], "fractional_positions": [[0.038, 0.250, 0.162], [0.962, 0.750, 0.838], [0.115, 0.250, 0.547], [0.885, 0.750, 0.453], [0.409, 0.750, 0.598], [0.462, 0.250, 0.871], [0.538, 0.750, 0.129], [0.591, 0.250, 0.402]]}